An optimized crystal structure of Nb2H6Ru. Source: Alexandria, functional GGA-PBE.

CIF file:
```
data_Nb2H6Ru
_chemical_formula_sum 'Nb4 H12 Ru2'
_cell_length_a 10.045
_cell_length_b 4.491
_cell_length_c 3.149
_cell_angle_alpha 90.00
_cell_angle_beta 108.11
_cell_angle_gamma 90.00
_symmetry_space_group_name_H-M 'C 1 2/m 1'
_symmetry_Int_Tables_number 12
loop_
_symmetry_equiv_pos_as_xyz
'x,y,z'
'-x,-y,-z'
'-x,y,-z'
'x,-y,z'
'x+1/2,y+1/2,z'
'-x+1/2,-y+1/2,-z'
'-x+1/2,y+1/2,-z'
'x+1/2,-y+1/2,z'
loop_
_atom_site_label
_atom_site_type_symbol
_atom_site_fract_x
_atom_site_fract_y
_atom_site_fract_z
Nb1 Nb 0.166 0.000 0.166
H1 H 0.000 0.268 0.000
H2 H 0.162 0.262 0.663
Ru1 Ru 0.000 0.500 0.500
```

Output
The calculated total energy comes out at -50.59 eV/f.u. The value obtained for the spin magnetization is 0.00 μB per formula unit.

An optimized crystal structure of NbHRu3. Source: Alexandria, functional GGA-PBE.

CIF file:
```
data_NbHRu3
_chemical_formula_sum 'Nb4 H4 Ru12'
_cell_length_a 5.130
_cell_length_b 13.311
_cell_length_c 4.802
_cell_angle_alpha 90.00
_cell_angle_beta 90.00
_cell_angle_gamma 90.00
_symmetry_space_group_name_H-M 'C m c m'
_symmetry_Int_Tables_number 63
_symmetry_space_group_name_Hall '-C 2c 2'
loop_
_atom_site_label
_atom_site_type_symbol
_atom_site_fract_x
_atom_site_fract_y
_atom_site_fract_z
Nb1 Nb 0.000 0.179 0.250
H1 H 0.000 0.449 0.250
Ru1 Ru 0.000 0.000 0.000
Ru2 Ru 0.240 0.352 0.250
```

Output
The value obtained for the spin magnetization is 0.00 μB per formula unit. The calculation puts the excess energy over the best structure of this formula in the dataset at 81.0 kJ/mol of atoms.

An optimized crystal structure of NbHRu3. Source: Alexandria, functional GGA-PBE.

CIF file:
```
data_NbHRu3
_chemical_formula_sum 'Nb2 H2 Ru6'
_cell_length_a 4.877
_cell_length_b 5.300
_cell_length_c 5.622
_cell_angle_alpha 105.29
_cell_angle_beta 90.78
_cell_angle_gamma 117.01
_symmetry_space_group_name_H-M 'P 1'
_symmetry_Int_Tables_number 1
loop_
_symmetry_equiv_pos_as_xyz
'x,y,z'
loop_
_atom_site_label
_atom_site_type_symbol
_atom_site_fract_x
_atom_site_fract_y
_atom_site_fract_z
Nb1 Nb 0.000 0.000 0.000
Nb2 Nb 0.437 0.523 0.423
H1 H 0.206 0.778 0.461
H2 H 0.711 0.767 0.211
Ru1 Ru 0.009 0.023 0.521
Ru2 Ru 0.417 0.510 0.905
Ru3 Ru 0.504 0.020 0.273
Ru4 Ru 0.518 0.036 0.779
Ru5 Ru 0.917 0.499 0.652
Ru6 Ru 0.924 0.508 0.141
```

Output
The value obtained for the spin magnetization is 0.00 μB per formula unit. The calculation puts the excess energy over the best structure of this formula in the dataset at 4.2 kJ/mol of atoms.

An optimized crystal structure of NbHRu3. Source: Alexandria, functional GGA-PBE.

CIF file:
```
data_NbHRu3
_chemical_formula_sum 'Nb6 H6 Ru18'
_cell_length_a 4.7959
_cell_length_b 4.7959
_cell_length_c 19.9499
_cell_angle_alpha 90.00
_cell_angle_beta 90.00
_cell_angle_gamma 120.00
_symmetry_space_group_name_H-M 'R -3'
_symmetry_Int_Tables_number 148
_symmetry_space_group_name_Hall '-R 3'
loop_
_atom_site_label
_atom_site_type_symbol
_atom_site_fract_x
_atom_site_fract_y
_atom_site_fract_z
Nb1 Nb 0.0000 0.0000 0.1646
H1 H 0.0000 0.0000 0.4382
Ru1 Ru 0.0018 0.6631 0.3887
```

Output
The value obtained for the spin magnetization is 0.00 μB per formula unit. The calculation puts the excess energy over the best structure of this formula in the dataset at 40.3 kJ/mol of atoms.

An optimized crystal structure of Nb4H6Ru7. Source: Alexandria, functional GGA-PBE.

CIF file:
```
data_Nb4H6Ru7
_chemical_formula_sum 'Nb8 H12 Ru14'
_cell_length_a 7.430
_cell_length_b 7.430
_cell_length_c 7.430
_cell_angle_alpha 90.00
_cell_angle_beta 90.00
_cell_angle_gamma 90.00
_symmetry_space_group_name_H-M 'I m -3 m'
_symmetry_Int_Tables_number 229
_symmetry_space_group_name_Hall '-I 4 2 3'
loop_
_atom_site_label
_atom_site_type_symbol
_atom_site_fract_x
_atom_site_fract_y
_atom_site_fract_z
Nb1 Nb 0.250 0.250 0.250
H1 H 0.000 0.000 0.236
Ru1 Ru 0.000 0.000 0.000
Ru2 Ru 0.000 0.250 0.500
```

Output
The calculated total energy comes out at -119.92 eV/f.u. The value obtained for the spin magnetization is 0.00 μB per formula unit.

An optimized crystal structure of NbH2Ru. Source: Alexandria, functional GGA-PBE.

CIF file:
```
data_NbH2Ru
_chemical_formula_sum 'Nb4 H8 Ru4'
_cell_length_a 5.364
_cell_length_b 5.364
_cell_length_c 5.364
_cell_angle_alpha 90.00
_cell_angle_beta 90.00
_cell_angle_gamma 90.00
_symmetry_space_group_name_H-M 'F m -3 m'
_symmetry_Int_Tables_number 225
_symmetry_space_group_name_Hall '-F 4 2 3'
loop_
_atom_site_label
_atom_site_type_symbol
_atom_site_fract_x
_atom_site_fract_y
_atom_site_fract_z
Nb1 Nb 0.000 0.000 0.000
H1 H 0.250 0.250 0.250
Ru1 Ru 0.000 0.000 0.500
```

Output
The value obtained for the spin magnetization is 0.00 μB per formula unit. The calculation puts the excess energy over the best structure of this formula in the dataset at 59.4 kJ/mol of atoms.

An optimized crystal structure of NbHRu. Source: Alexandria, functional GGA-PBE.

CIF file:
```
data_NbHRu
_chemical_formula_sum 'Nb4 H4 Ru4'
_cell_length_a 9.633
_cell_length_b 2.920
_cell_length_c 4.936
_cell_angle_alpha 90.00
_cell_angle_beta 99.96
_cell_angle_gamma 90.00
_symmetry_space_group_name_H-M 'C 1 2/m 1'
_symmetry_Int_Tables_number 12
loop_
_symmetry_equiv_pos_as_xyz
'x,y,z'
'-x,-y,-z'
'-x,y,-z'
'x,-y,z'
'x+1/2,y+1/2,z'
'-x+1/2,-y+1/2,-z'
'-x+1/2,y+1/2,-z'
'x+1/2,-y+1/2,z'
loop_
_atom_site_label
_atom_site_type_symbol
_atom_site_fract_x
_atom_site_fract_y
_atom_site_fract_z
Nb1 Nb 0.109 0.000 0.338
H1 H 0.234 0.000 0.746
Ru1 Ru 0.127 0.500 0.857
```

Output
The value obtained for the spin magnetization is 0.00 μB per formula unit. The calculation puts the excess energy over the best structure of this formula in the dataset at 1.7 kJ/mol of atoms.

An optimized crystal structure of NbHRu3. Source: Alexandria, functional GGA-PBE.

CIF file:
```
data_NbHRu3
_chemical_formula_sum 'Nb4 H4 Ru12'
_cell_length_a 5.657
_cell_length_b 8.908
_cell_length_c 5.633
_cell_angle_alpha 90.00
_cell_angle_beta 119.90
_cell_angle_gamma 90.00
_symmetry_space_group_name_H-M 'C 1 c 1'
_symmetry_Int_Tables_number 9
loop_
_symmetry_equiv_pos_as_xyz
'x,y,z'
'x,-y,z+1/2'
'x+1/2,y+1/2,z'
'x+1/2,-y+1/2,z+1/2'
loop_
_atom_site_label
_atom_site_type_symbol
_atom_site_fract_x
_atom_site_fract_y
_atom_site_fract_z
Nb1 Nb 0.000 0.001 0.000
H1 H 0.145 0.362 0.818
Ru1 Ru 0.313 0.248 0.164
Ru2 Ru 0.322 0.246 0.656
Ru3 Ru 0.489 0.001 0.995
```

Output
The value obtained for the spin magnetization is 0.00 μB per formula unit. The calculation puts the excess energy over the best structure of this formula in the dataset at 4.8 kJ/mol of atoms.

An optimized crystal structure of Nb2H2Ru. Source: Alexandria, functional GGA-PBE.

CIF file:
```
data_Nb2H2Ru
_chemical_formula_sum 'Nb4 H4 Ru2'
_cell_length_a 2.995
_cell_length_b 2.995
_cell_length_c 12.446
_cell_angle_alpha 90.00
_cell_angle_beta 90.00
_cell_angle_gamma 90.00
_symmetry_space_group_name_H-M 'I 4/m m m'
_symmetry_Int_Tables_number 139
_symmetry_space_group_name_Hall '-I 4 2'
loop_
_atom_site_label
_atom_site_type_symbol
_atom_site_fract_x
_atom_site_fract_y
_atom_site_fract_z
Nb1 Nb 0.000 0.000 0.142
H1 H 0.000 0.500 0.250
Ru1 Ru 0.000 0.000 0.500
```

Output
The value obtained for the spin magnetization is 0.00 μB per formula unit. The calculation puts the excess energy over the best structure of this formula in the dataset at 0.0 kJ/mol of atoms.

An optimized crystal structure of Nb2H2Ru. Source: Alexandria, functional GGA-PBE.

CIF file:
```
data_Nb2H2Ru
_chemical_formula_sum 'Nb8 H8 Ru4'
_cell_length_a 5.130
_cell_length_b 8.901
_cell_length_c 5.048
_cell_angle_alpha 90.00
_cell_angle_beta 109.61
_cell_angle_gamma 90.00
_symmetry_space_group_name_H-M 'C 1 2/c 1'
_symmetry_Int_Tables_number 15
loop_
_symmetry_equiv_pos_as_xyz
'x,y,z'
'-x,-y,-z'
'-x,y,-z+1/2'
'x,-y,z+1/2'
'x+1/2,y+1/2,z'
'-x+1/2,-y+1/2,-z'
'-x+1/2,y+1/2,-z+1/2'
'x+1/2,-y+1/2,z+1/2'
loop_
_atom_site_label
_atom_site_type_symbol
_atom_site_fract_x
_atom_site_fract_y
_atom_site_fract_z
Nb1 Nb 0.000 0.088 0.250
Nb2 Nb 0.000 0.256 0.750
H1 H 0.250 0.083 0.992
Ru1 Ru 0.000 0.421 0.250
```

Output
The value obtained for the spin magnetization is 0.00 μB per formula unit. The calculation puts the excess energy over the best structure of this formula in the dataset at 11.8 kJ/mol of atoms.

An optimized crystal structure of NbHRu3. Source: Alexandria, functional GGA-PBE.

CIF file:
```
data_NbHRu3
_chemical_formula_sum 'Nb4 H4 Ru12'
_cell_length_a 6.172
_cell_length_b 8.145
_cell_length_c 5.180
_cell_angle_alpha 90.00
_cell_angle_beta 90.00
_cell_angle_gamma 90.00
_symmetry_space_group_name_H-M 'C m c m'
_symmetry_Int_Tables_number 63
_symmetry_space_group_name_Hall '-C 2c 2'
loop_
_atom_site_label
_atom_site_type_symbol
_atom_site_fract_x
_atom_site_fract_y
_atom_site_fract_z
Nb1 Nb 0.000 0.067 0.250
H1 H 0.000 0.337 0.250
Ru1 Ru 0.000 0.500 0.000
Ru2 Ru 0.200 0.220 0.750
```

Output
The value obtained for the spin magnetization is 0.00 μB per formula unit. The calculation puts the excess energy over the best structure of this formula in the dataset at 37.5 kJ/mol of atoms.

An optimized crystal structure of NbHRu3. Source: Alexandria, functional GGA-PBE.

CIF file:
```
data_NbHRu3
_chemical_formula_sum 'Nb1 H1 Ru3'
_cell_length_a 3.945
_cell_length_b 3.945
_cell_length_c 3.945
_cell_angle_alpha 90.00
_cell_angle_beta 90.00
_cell_angle_gamma 90.00
_symmetry_space_group_name_H-M 'P m -3 m'
_symmetry_Int_Tables_number 221
_symmetry_space_group_name_Hall '-P 4 2 3'
loop_
_atom_site_label
_atom_site_type_symbol
_atom_site_fract_x
_atom_site_fract_y
_atom_site_fract_z
Nb1 Nb 0.000 0.000 0.000
H1 H 0.500 0.500 0.500
Ru1 Ru 0.000 0.500 0.500
```

Output
The value obtained for the spin magnetization is 0.00 μB per formula unit. The calculation puts the excess energy over the best structure of this formula in the dataset at 0.0 kJ/mol of atoms.

Number 9 is which compound? Nb2H2Ru